Record 1
# PBE Y2Nb2Hg, relaxed
# ΔE_f: 195.0 meV/atom
# crystal system: tetragonal
# magnetization: 0.00 μB/cell
# E above lowest polymorph: 0.000 eV per atom
# Fermi-level density of states: 5.53 states/eV/f.u.
# volume: 242.1 Å³/cell
data_Y2Nb2Hg
_chemical_formula_sum 'Y4 Nb4 Hg2'
_cell_length_a 7.502
_cell_length_b 7.502
_cell_length_c 4.301
_cell_angle_alpha 90.00
_cell_angle_beta 90.00
_cell_angle_gamma 90.00
_space_group_name_H-M_alt 'P 4/m b m'
_space_group_IT_number 127
_space_group_name_Hall '-P 4 2ab'
loop_
_atom_site_label
_atom_site_type_symbol
_atom_site_fract_x
_atom_site_fract_y
_atom_site_fract_z
Y1 Y 0.175 0.325 0.000
Nb1 Nb 0.123 0.623 0.500
Hg1 Hg 0.000 0.000 0.500

***

Record 2
# PBE NbZn2Hg, relaxed
# ΔE_f: 77.9 meV/atom
# crystal system: tetragonal
# magnetization: 0.00 μB/cell
# Fermi-level density of states: 2.32 states/eV/f.u.
# volume: 70.1 Å³/cell
data_NbZn2Hg
_chemical_formula_sum 'Nb1 Zn2 Hg1'
_cell_length_a 2.975
_cell_length_b 2.975
_cell_length_c 7.921
_cell_angle_alpha 90.00
_cell_angle_beta 90.00
_cell_angle_gamma 90.00
_space_group_name_H-M_alt 'P 4/m m m'
_space_group_IT_number 123
_space_group_name_Hall '-P 4 2'
loop_
_atom_site_label
_atom_site_type_symbol
_atom_site_fract_x
_atom_site_fract_y
_atom_site_fract_z
Nb1 Nb 0.000 0.000 0.000
Zn1 Zn 0.500 0.500 0.239
Hg1 Hg 0.000 0.000 0.500

***

Record 3
# PBE Nb2ZnHg, relaxed
# ΔE_f: 322.7 meV/atom
# crystal system: cubic
# magnetization: 0.00 μB/cell
# E above lowest polymorph: 0.000 eV per atom
# Fermi-level density of states: 4.33 states/eV/f.u.
# volume: 288.9 Å³/cell
data_Nb2ZnHg
_chemical_formula_sum 'Nb8 Zn4 Hg4'
_cell_length_a 6.611
_cell_length_b 6.611
_cell_length_c 6.611
_cell_angle_alpha 90.00
_cell_angle_beta 90.00
_cell_angle_gamma 90.00
_space_group_name_H-M_alt 'F m -3 m'
_space_group_IT_number 225
_space_group_name_Hall '-F 4 2 3'
loop_
_atom_site_label
_atom_site_type_symbol
_atom_site_fract_x
_atom_site_fract_y
_atom_site_fract_z
Nb1 Nb 0.250 0.250 0.250
Zn1 Zn 0.000 0.000 0.000
Hg1 Hg 0.000 0.000 0.500

***

Record 4
# PBE NbZnHg2, relaxed
# ΔE_f: 477.6 meV/atom
# crystal system: tetragonal
# magnetization: 3.93 μB/cell
# Fermi-level density of states: 1.16 states/eV/f.u.
# volume: 330.4 Å³/cell
data_NbZnHg2
_chemical_formula_sum 'Nb4 Zn4 Hg8'
_cell_length_a 7.512
_cell_length_b 7.512
_cell_length_c 5.856
_cell_angle_alpha 90.00
_cell_angle_beta 90.00
_cell_angle_gamma 90.00
_space_group_name_H-M_alt 'I -4 2 d'
_space_group_IT_number 122
_space_group_name_Hall 'I -4 2bw'
loop_
_atom_site_label
_atom_site_type_symbol
_atom_site_fract_x
_atom_site_fract_y
_atom_site_fract_z
Nb1 Nb 0.000 0.000 0.000
Zn1 Zn 0.000 0.000 0.500
Hg1 Hg 0.230 0.250 0.625

***

Record 5
# PBE NbZn3Hg, relaxed
# ΔE_f: 949.1 meV/atom
# crystal system: cubic
# magnetization: 4.11 μB/cell
# E above lowest polymorph: 0.000 eV per atom
# Fermi-level density of states: 3.12 states/eV/f.u.
# volume: 149.6 Å³/cell
data_NbZn3Hg
_chemical_formula_sum 'Nb1 Zn3 Hg1'
_cell_length_a 5.309
_cell_length_b 5.309
_cell_length_c 5.309
_cell_angle_alpha 90.00
_cell_angle_beta 90.00
_cell_angle_gamma 90.00
_space_group_name_H-M_alt 'P m -3 m'
_space_group_IT_number 221
_space_group_name_Hall '-P 4 2 3'
loop_
_atom_site_label
_atom_site_type_symbol
_atom_site_fract_x
_atom_site_fract_y
_atom_site_fract_z
Nb1 Nb 0.000 0.000 0.000
Zn1 Zn 0.000 0.000 0.500
Hg1 Hg 0.500 0.500 0.500

***

Record 6
# PBE NbZnHg3, relaxed
# ΔE_f: 958.2 meV/atom
# crystal system: cubic
# magnetization: 0.00 μB/cell
# E above lowest polymorph: 0.124 eV per atom
# Fermi-level density of states: 4.04 states/eV/f.u.
# volume: 118.3 Å³/cell
data_NbZnHg3
_chemical_formula_sum 'Nb1 Zn1 Hg3'
_cell_length_a 4.909
_cell_length_b 4.909
_cell_length_c 4.909
_cell_angle_alpha 90.00
_cell_angle_beta 90.00
_cell_angle_gamma 90.00
_space_group_name_H-M_alt 'P m -3 m'
_space_group_IT_number 221
_space_group_name_Hall '-P 4 2 3'
loop_
_atom_site_label
_atom_site_type_symbol
_atom_site_fract_x
_atom_site_fract_y
_atom_site_fract_z
Nb1 Nb 0.000 0.000 0.000
Zn1 Zn 0.500 0.500 0.500
Hg1 Hg 0.000 0.500 0.500

***

Record 7
# PBE NbZn2Hg, relaxed
# ΔE_f: 408.9 meV/atom
# crystal system: tetragonal
# magnetization: 0.00 μB/cell
# Fermi-level density of states: 4.42 states/eV/f.u.
# volume: 302.7 Å³/cell
data_NbZn2Hg
_chemical_formula_sum 'Nb4 Zn8 Hg4'
_cell_length_a 7.276
_cell_length_b 7.276
_cell_length_c 5.717
_cell_angle_alpha 90.00
_cell_angle_beta 90.00
_cell_angle_gamma 90.00
_space_group_name_H-M_alt 'I -4 2 d'
_space_group_IT_number 122
_space_group_name_Hall 'I -4 2bw'
loop_
_atom_site_label
_atom_site_type_symbol
_atom_site_fract_x
_atom_site_fract_y
_atom_site_fract_z
Nb1 Nb 0.000 0.000 0.000
Zn1 Zn 0.246 0.750 0.625
Hg1 Hg 0.000 0.000 0.500

***

Record 8
# PBE Nb2ZnHg, relaxed
# ΔE_f: 501.4 meV/atom
# crystal system: tetragonal
# magnetization: 0.00 μB/cell
# E above lowest polymorph: 0.179 eV per atom
# Fermi-level density of states: 1.68 states/eV/f.u.
# volume: 307.6 Å³/cell
data_Nb2ZnHg
_chemical_formula_sum 'Nb8 Zn4 Hg4'
_cell_length_a 7.519
_cell_length_b 7.519
_cell_length_c 5.441
_cell_angle_alpha 90.00
_cell_angle_beta 90.00
_cell_angle_gamma 90.00
_space_group_name_H-M_alt 'I -4 2 d'
_space_group_IT_number 122
_space_group_name_Hall 'I -4 2bw'
loop_
_atom_site_label
_atom_site_type_symbol
_atom_site_fract_x
_atom_site_fract_y
_atom_site_fract_z
Nb1 Nb 0.238 0.750 0.125
Zn1 Zn 0.000 0.000 0.000
Hg1 Hg 0.000 0.000 0.500

***

Record 9
# PBE NbZn2Hg, relaxed
# ΔE_f: 20.0 meV/atom
# crystal system: tetragonal
# magnetization: 0.00 μB/cell
# Fermi-level density of states: 2.18 states/eV/f.u.
# volume: 68.4 Å³/cell
data_NbZn2Hg
_chemical_formula_sum 'Nb1 Zn2 Hg1'
_cell_length_a 4.172
_cell_length_b 4.172
_cell_length_c 3.928
_cell_angle_alpha 90.00
_cell_angle_beta 90.00
_cell_angle_gamma 90.00
_space_group_name_H-M_alt 'P 4/m m m'
_space_group_IT_number 123
_space_group_name_Hall '-P 4 2'
loop_
_atom_site_label
_atom_site_type_symbol
_atom_site_fract_x
_atom_site_fract_y
_atom_site_fract_z
Nb1 Nb 0.000 0.000 0.000
Zn1 Zn 0.000 0.500 0.500
Hg1 Hg 0.500 0.500 0.000

***

Record 10
# PBE NbZnHg3, relaxed
# ΔE_f: 834.5 meV/atom
# crystal system: cubic
# magnetization: 4.08 μB/cell
# E above lowest polymorph: 0.000 eV per atom
# Fermi-level density of states: 3.20 states/eV/f.u.
# volume: 181.7 Å³/cell
data_NbZnHg3
_chemical_formula_sum 'Nb1 Zn1 Hg3'
_cell_length_a 5.663
_cell_length_b 5.663
_cell_length_c 5.663
_cell_angle_alpha 90.00
_cell_angle_beta 90.00
_cell_angle_gamma 90.00
_space_group_name_H-M_alt 'P m -3 m'
_space_group_IT_number 221
_space_group_name_Hall '-P 4 2 3'
loop_
_atom_site_label
_atom_site_type_symbol
_atom_site_fract_x
_atom_site_fract_y
_atom_site_fract_z
Nb1 Nb 0.000 0.000 0.000
Zn1 Zn 0.500 0.500 0.500
Hg1 Hg 0.000 0.000 0.500

***

Record 11
# PBE NbZnHg2, relaxed
# ΔE_f: 471.2 meV/atom
# crystal system: trigonal
# magnetization: 0.00 μB/cell
# Fermi-level density of states: 2.19 states/eV/f.u.
# volume: 249.9 Å³/cell
data_NbZnHg2
_chemical_formula_sum 'Nb3 Zn3 Hg6'
_cell_length_a 3.0144
_cell_length_b 3.0144
_cell_length_c 31.7575
_cell_angle_alpha 90.00
_cell_angle_beta 90.00
_cell_angle_gamma 120.00
_space_group_name_H-M_alt 'R -3 m'
_space_group_IT_number 166
_space_group_name_Hall '-R 3 2"'
loop_
_atom_site_label
_atom_site_type_symbol
_atom_site_fract_x
_atom_site_fract_y
_atom_site_fract_z
Nb1 Nb 0.0000 0.0000 0.0000
Zn1 Zn 0.0000 0.0000 0.5000
Hg1 Hg 0.0000 0.0000 0.0913

***

Record 12
# PBE Zr6NbHg5, relaxed
# ΔE_f: -113.6 meV/atom
# crystal system: orthorhombic
# magnetization: 0.00 μB/cell
# Fermi-level density of states: 13.48 states/eV/f.u.
# volume: 516.4 Å³/cell
data_Zr6NbHg5
_chemical_formula_sum 'Zr12 Nb2 Hg10'
_cell_length_a 4.613
_cell_length_b 13.833
_cell_length_c 8.093
_cell_angle_alpha 90.00
_cell_angle_beta 90.00
_cell_angle_gamma 90.00
_space_group_name_H-M_alt 'C m m m'
_space_group_IT_number 65
_space_group_name_Hall '-C 2 2'
loop_
_atom_site_label
_atom_site_type_symbol
_atom_site_fract_x
_atom_site_fract_y
_atom_site_fract_z
Zr1 Zr 0.000 0.000 0.242
Zr2 Zr 0.000 0.336 0.243
Nb1 Nb 0.000 0.500 0.000
Hg1 Hg 0.000 0.165 0.000
Hg2 Hg 0.000 0.167 0.500
Hg3 Hg 0.000 0.500 0.500

***

Number 4 is which compound?
NbZnHg2